No. 1
# Tc2PtRh | Alexandria via LeMat-Bulk | PBE-GGA | optimized geometry
# energy: -8.596 eV/atom
# volume: 14.62 Å³/atom
# magnetic moment: 0.00 μB/atom
data_Tc2PtRh
_cell_length_a 9.1933
_cell_length_b 2.7345
_cell_length_c 4.7241
_cell_angle_alpha 90.00
_cell_angle_beta 99.91
_cell_angle_gamma 90.00
_symmetry_space_group_name_H-M 'C 1 2/m 1'
_symmetry_Int_Tables_number 12
loop_
_symmetry_equiv_pos_as_xyz
'x,y,z'
'-x,-y,-z'
'-x,y,-z'
'x,-y,z'
'x+1/2,y+1/2,z'
'-x+1/2,-y+1/2,-z'
'-x+1/2,y+1/2,-z'
'x+1/2,-y+1/2,z'
loop_
_atom_site_label
_atom_site_type_symbol
_atom_site_fract_x
_atom_site_fract_y
_atom_site_fract_z
_atom_site_occupancy
Tc1 Tc 0.2487 0.0000 0.2439 1
Pt1 Pt 0.0000 0.0000 0.5000 1
Rh1 Rh 0.0000 0.5000 0.0000 1


No. 2
# TcPt2Rh | Alexandria via LeMat-Bulk | PBE-GGA | optimized geometry
# energy: -7.585 eV/atom
# volume: 14.98 Å³/atom
# magnetic moment: 0.00 μB/atom
data_TcPt2Rh
_cell_length_a 2.7598
_cell_length_b 2.7598
_cell_length_c 27.2543
_cell_angle_alpha 90.00
_cell_angle_beta 90.00
_cell_angle_gamma 120.00
_symmetry_space_group_name_H-M 'R 3 m'
_symmetry_Int_Tables_number 160
_symmetry_space_group_name_Hall 'R 3 -2"'
loop_
_atom_site_label
_atom_site_type_symbol
_atom_site_fract_x
_atom_site_fract_y
_atom_site_fract_z
_atom_site_occupancy
Tc1 Tc 0.0000 0.0000 0.0000 1
Pt1 Pt 0.0000 0.0000 0.5041 1
Pt2 Pt 0.0000 0.0000 0.7493 1
Rh1 Rh 0.0000 0.0000 0.2571 1


No. 3
# Tc4Pt3Rh4 | Alexandria via LeMat-Bulk | PBE-GGA | optimized geometry
# energy: -7.807 eV/atom
# volume: 16.28 Å³/atom
# magnetic moment: 0.00 μB/atom
data_Tc4Pt3Rh4
_cell_length_a 3.9046
_cell_length_b 7.7061
_cell_length_c 11.9031
_cell_angle_alpha 90.00
_cell_angle_beta 90.00
_cell_angle_gamma 90.00
_symmetry_space_group_name_H-M 'I m m m'
_symmetry_Int_Tables_number 71
_symmetry_space_group_name_Hall '-I 2 2'
loop_
_atom_site_label
_atom_site_type_symbol
_atom_site_fract_x
_atom_site_fract_y
_atom_site_fract_z
_atom_site_occupancy
Tc1 Tc 0.0000 0.1956 0.1823 1
Pt1 Pt 0.0000 0.0000 0.3828 1
Pt2 Pt 0.0000 0.5000 0.5000 1
Rh1 Rh 0.0000 0.3237 0.0000 1
Rh2 Rh 0.0000 0.5000 0.2681 1


No. 4
# TcPtRh2 | Alexandria via LeMat-Bulk | PBE-GGA | optimized geometry
# energy: -7.844 eV/atom
# volume: 14.56 Å³/atom
# magnetic moment: 0.00 μB/atom
data_TcPtRh2
_cell_length_a 9.1163
_cell_length_b 2.7385
_cell_length_c 4.7384
_cell_angle_alpha 90.00
_cell_angle_beta 100.06
_cell_angle_gamma 90.00
_symmetry_space_group_name_H-M 'C 1 m 1'
_symmetry_Int_Tables_number 8
loop_
_symmetry_equiv_pos_as_xyz
'x,y,z'
'x,-y,z'
'x+1/2,y+1/2,z'
'x+1/2,-y+1/2,z'
loop_
_atom_site_label
_atom_site_type_symbol
_atom_site_fract_x
_atom_site_fract_y
_atom_site_fract_z
_atom_site_occupancy
Tc1 Tc 0.0000 0.0000 0.0000 1
Pt1 Pt 0.2503 0.0000 0.7453 1
Rh1 Rh 0.2464 0.5000 0.2380 1
Rh2 Rh 0.4971 0.0000 0.4897 1


No. 5
# Tc2Pt6Rh5 | Alexandria via LeMat-Bulk | PBE-GGA | optimized geometry
# energy: -7.146 eV/atom
# volume: 15.36 Å³/atom
# magnetic moment: 0.00 μB/atom
data_Tc2Pt6Rh5
_cell_length_a 9.0767
_cell_length_b 16.0308
_cell_length_c 2.7446
_cell_angle_alpha 90.00
_cell_angle_beta 90.00
_cell_angle_gamma 90.00
_symmetry_space_group_name_H-M 'P b a m'
_symmetry_Int_Tables_number 55
loop_
_symmetry_equiv_pos_as_xyz
'x,y,z'
'-x,-y,-z'
'-x,-y,z'
'x,y,-z'
'x+1/2,-y+1/2,-z'
'-x+1/2,y+1/2,z'
'-x+1/2,y+1/2,-z'
'x+1/2,-y+1/2,z'
loop_
_atom_site_label
_atom_site_type_symbol
_atom_site_fract_x
_atom_site_fract_y
_atom_site_fract_z
_atom_site_occupancy
Tc1 Tc 0.1662 0.2086 0.0000 1
Pt1 Pt 0.0690 0.9226 0.0000 1
Pt2 Pt 0.0797 0.6312 0.0000 1
Pt3 Pt 0.1809 0.3667 0.5000 1
Rh1 Rh 0.0000 0.5000 0.5000 1
Rh2 Rh 0.0817 0.7744 0.5000 1
Rh3 Rh 0.1945 0.0635 0.5000 1


No. 6
# TcPt2Rh | Alexandria via LeMat-Bulk | PBE-GGA | optimized geometry
# energy: -7.335 eV/atom
# volume: 16.63 Å³/atom
# magnetic moment: 0.00 μB/atom
data_TcPt2Rh
_cell_length_a 5.4719
_cell_length_b 3.6603
_cell_length_c 6.6887
_cell_angle_alpha 90.00
_cell_angle_beta 96.77
_cell_angle_gamma 90.00
_symmetry_space_group_name_H-M 'P 1 21/m 1'
_symmetry_Int_Tables_number 11
loop_
_symmetry_equiv_pos_as_xyz
'x,y,z'
'-x,-y,-z'
'-x,y+1/2,-z'
'x,-y+1/2,z'
loop_
_atom_site_label
_atom_site_type_symbol
_atom_site_fract_x
_atom_site_fract_y
_atom_site_fract_z
_atom_site_occupancy
Tc1 Tc 0.1335 0.2500 0.0778 1
Pt1 Pt 0.3444 0.2500 0.4388 1
Pt2 Pt 0.3613 0.7500 0.8717 1
Rh1 Rh 0.0183 0.2500 0.6835 1


No. 7
# TcPt4Rh2 | Alexandria via LeMat-Bulk | PBE-GGA | optimized geometry
# energy: -7.123 eV/atom
# volume: 15.05 Å³/atom
# magnetic moment: 0.00 μB/atom
data_TcPt4Rh2
_cell_length_a 4.7711
_cell_length_b 4.7837
_cell_length_c 9.6833
_cell_angle_alpha 99.25
_cell_angle_beta 99.85
_cell_angle_gamma 99.49
_symmetry_space_group_name_H-M 'P -1'
_symmetry_Int_Tables_number 2
loop_
_symmetry_equiv_pos_as_xyz
'x,y,z'
'-x,-y,-z'
loop_
_atom_site_label
_atom_site_type_symbol
_atom_site_fract_x
_atom_site_fract_y
_atom_site_fract_z
_atom_site_occupancy
Tc1 Tc 0.2114 0.3589 0.4656 1
Pt1 Pt 0.0711 0.7831 0.8130 1
Pt2 Pt 0.2133 0.3550 0.9620 1
Pt3 Pt 0.3569 0.9313 0.1117 1
Pt4 Pt 0.4972 0.5070 0.2599 1
Rh1 Rh 0.0688 0.7874 0.3325 1
Rh2 Rh 0.3510 0.9238 0.5980 1


No. 8
# TcPtRh6 | Alexandria via LeMat-Bulk | PBE-GGA | optimized geometry
# energy: -7.639 eV/atom
# volume: 14.36 Å³/atom
# magnetic moment: 0.00 μB/atom
data_TcPtRh6
_cell_length_a 3.8543
_cell_length_b 3.8543
_cell_length_c 7.7327
_cell_angle_alpha 90.00
_cell_angle_beta 90.00
_cell_angle_gamma 90.00
_symmetry_space_group_name_H-M 'P 4/m m m'
_symmetry_Int_Tables_number 123
_symmetry_space_group_name_Hall '-P 4 2'
loop_
_atom_site_label
_atom_site_type_symbol
_atom_site_fract_x
_atom_site_fract_y
_atom_site_fract_z
_atom_site_occupancy
Tc1 Tc 0.0000 0.0000 0.0000 1
Pt1 Pt 0.0000 0.0000 0.5000 1
Rh1 Rh 0.0000 0.5000 0.2424 1
Rh2 Rh 0.5000 0.5000 0.0000 1
Rh3 Rh 0.5000 0.5000 0.5000 1


No. 9
# Tc2Pt8Rh | Alexandria via LeMat-Bulk | PBE-GGA | optimized geometry
# energy: -7.077 eV/atom
# volume: 15.27 Å³/atom
# magnetic moment: 0.00 μB/atom
data_Tc2Pt8Rh
_cell_length_a 14.1959
_cell_length_b 3.9094
_cell_length_c 6.2640
_cell_angle_alpha 90.00
_cell_angle_beta 104.95
_cell_angle_gamma 90.00
_symmetry_space_group_name_H-M 'C 1 2/m 1'
_symmetry_Int_Tables_number 12
loop_
_symmetry_equiv_pos_as_xyz
'x,y,z'
'-x,-y,-z'
'-x,y,-z'
'x,-y,z'
'x+1/2,y+1/2,z'
'-x+1/2,-y+1/2,-z'
'-x+1/2,y+1/2,-z'
'x+1/2,-y+1/2,z'
loop_
_atom_site_label
_atom_site_type_symbol
_atom_site_fract_x
_atom_site_fract_y
_atom_site_fract_z
_atom_site_occupancy
Tc1 Tc 0.2296 0.0000 0.1229 1
Pt1 Pt 0.0499 0.0000 0.2336 1
Pt2 Pt 0.0935 0.5000 0.9585 1
Pt3 Pt 0.1386 0.0000 0.6948 1
Pt4 Pt 0.1836 0.5000 0.4166 1
Rh1 Rh 0.0000 0.5000 0.5000 1


No. 10
# TcPt3Rh | Alexandria via LeMat-Bulk | PBE-GGA | optimized geometry
# energy: -7.303 eV/atom
# volume: 15.08 Å³/atom
# magnetic moment: 0.00 μB/atom
data_TcPt3Rh
_cell_length_a 6.2043
_cell_length_b 3.8873
_cell_length_c 6.2530
_cell_angle_alpha 90.00
_cell_angle_beta 90.98
_cell_angle_gamma 90.00
_symmetry_space_group_name_H-M 'P 1 21/m 1'
_symmetry_Int_Tables_number 11
loop_
_symmetry_equiv_pos_as_xyz
'x,y,z'
'-x,-y,-z'
'-x,y+1/2,-z'
'x,-y+1/2,z'
loop_
_atom_site_label
_atom_site_type_symbol
_atom_site_fract_x
_atom_site_fract_y
_atom_site_fract_z
_atom_site_occupancy
Tc1 Tc 0.1439 0.2500 0.0432 1
Pt1 Pt 0.0585 0.7500 0.3393 1
Pt2 Pt 0.2411 0.7500 0.7584 1
Pt3 Pt 0.3544 0.2500 0.4407 1
Rh1 Rh 0.4574 0.7500 0.1401 1


No. 11
# TcPtRh | Alexandria via LeMat-Bulk | PBE-GGA | optimized geometry
# energy: -7.472 eV/atom
# volume: 17.54 Å³/atom
# magnetic moment: 0.00 μB/atom
data_TcPtRh
_cell_length_a 5.9481
_cell_length_b 5.9481
_cell_length_c 5.9481
_cell_angle_alpha 90.00
_cell_angle_beta 90.00
_cell_angle_gamma 90.00
_symmetry_space_group_name_H-M 'F -4 3 m'
_symmetry_Int_Tables_number 216
_symmetry_space_group_name_Hall 'F -4 2 3'
loop_
_atom_site_label
_atom_site_type_symbol
_atom_site_fract_x
_atom_site_fract_y
_atom_site_fract_z
_atom_site_occupancy
Tc1 Tc 0.0000 0.0000 0.0000 1
Pt1 Pt 0.2500 0.2500 0.2500 1
Rh1 Rh 0.2500 0.2500 0.7500 1


No. 12
# Tc2Pt2Rh7 | Alexandria via LeMat-Bulk | PBE-GGA | optimized geometry
# energy: -7.330 eV/atom
# volume: 16.09 Å³/atom
# magnetic moment: 0.07 μB/atom
data_Tc2Pt2Rh7
_cell_length_a 5.2464
_cell_length_b 9.1133
_cell_length_c 7.4025
_cell_angle_alpha 90.00
_cell_angle_beta 90.00
_cell_angle_gamma 90.00
_symmetry_space_group_name_H-M 'C m m m'
_symmetry_Int_Tables_number 65
_symmetry_space_group_name_Hall '-C 2 2'
loop_
_atom_site_label
_atom_site_type_symbol
_atom_site_fract_x
_atom_site_fract_y
_atom_site_fract_z
_atom_site_occupancy
Tc1 Tc 0.2090 0.0000 0.0000 1
Pt1 Pt 0.0000 0.2809 0.5000 1
Rh1 Rh 0.0000 0.0000 0.5000 1
Rh2 Rh 0.0000 0.5000 0.2778 1
Rh3 Rh 0.2500 0.2500 0.1804 1


No. 13
# Tc2Pt2Rh | Alexandria via LeMat-Bulk | PBE-GGA | optimized geometry
# energy: -7.812 eV/atom
# volume: 15.75 Å³/atom
# magnetic moment: 0.00 μB/atom
data_Tc2Pt2Rh
_cell_length_a 7.5432
_cell_length_b 7.5432
_cell_length_c 2.7687
_cell_angle_alpha 90.00
_cell_angle_beta 90.00
_cell_angle_gamma 90.00
_symmetry_space_group_name_H-M 'P 4/m b m'
_symmetry_Int_Tables_number 127
_symmetry_space_group_name_Hall '-P 4 2ab'
loop_
_atom_site_label
_atom_site_type_symbol
_atom_site_fract_x
_atom_site_fract_y
_atom_site_fract_z
_atom_site_occupancy
Tc1 Tc 0.1742 0.3258 0.0000 1
Pt1 Pt 0.1242 0.6242 0.5000 1
Rh1 Rh 0.0000 0.0000 0.5000 1


No. 14
# TcPt5Rh2 | Alexandria via LeMat-Bulk | PBE-GGA | optimized geometry
# energy: -6.771 eV/atom
# volume: 15.72 Å³/atom
# magnetic moment: 0.00 μB/atom
data_TcPt5Rh2
_cell_length_a 6.7122
_cell_length_b 6.7122
_cell_length_c 11.1638
_cell_angle_alpha 90.00
_cell_angle_beta 90.00
_cell_angle_gamma 90.00
_symmetry_space_group_name_H-M 'I 4/m c m'
_symmetry_Int_Tables_number 140
_symmetry_space_group_name_Hall '-I 4 2c'
loop_
_atom_site_label
_atom_site_type_symbol
_atom_site_fract_x
_atom_site_fract_y
_atom_site_fract_z
_atom_site_occupancy
Tc1 Tc 0.0000 0.0000 0.2500 1
Pt1 Pt 0.0000 0.0000 0.0000 1
Pt2 Pt 0.1555 0.3445 0.1643 1
Rh1 Rh 0.1365 0.3635 0.5000 1


No. 15
# TcPtRh2 | Alexandria via LeMat-Bulk | PBE-GGA | optimized geometry
# energy: -7.522 eV/atom
# volume: 14.97 Å³/atom
# magnetic moment: 0.24 μB/atom
data_TcPtRh2
_cell_length_a 6.2097
_cell_length_b 6.2097
_cell_length_c 6.2097
_cell_angle_alpha 90.00
_cell_angle_beta 90.00
_cell_angle_gamma 90.00
_symmetry_space_group_name_H-M 'F -4 3 m'
_symmetry_Int_Tables_number 216
_symmetry_space_group_name_Hall 'F -4 2 3'
loop_
_atom_site_label
_atom_site_type_symbol
_atom_site_fract_x
_atom_site_fract_y
_atom_site_fract_z
_atom_site_occupancy
Tc1 Tc 0.0000 0.0000 0.0000 1
Pt1 Pt 0.2500 0.2500 0.2500 1
Rh1 Rh 0.0000 0.0000 0.5000 1
Rh2 Rh 0.2500 0.2500 0.7500 1


No. 16
# TlTcPt2Rh | Alexandria via LeMat-Bulk | PBE-GGA | optimized geometry
# energy: -5.094 eV/atom
# volume: 23.12 Å³/atom
# magnetic moment: 0.00 μB/atom
data_TlTcPt2Rh
_cell_length_a 4.7316
_cell_length_b 4.7316
_cell_length_c 5.1627
_cell_angle_alpha 90.00
_cell_angle_beta 90.00
_cell_angle_gamma 90.00
_symmetry_space_group_name_H-M 'P 4/m m m'
_symmetry_Int_Tables_number 123
_symmetry_space_group_name_Hall '-P 4 2'
loop_
_atom_site_label
_atom_site_type_symbol
_atom_site_fract_x
_atom_site_fract_y
_atom_site_fract_z
_atom_site_occupancy
Tl1 Tl 0.0000 0.0000 0.0000 1
Tc1 Tc 0.0000 0.0000 0.5000 1
Pt1 Pt 0.0000 0.5000 0.5000 1
Rh1 Rh 0.5000 0.5000 0.0000 1


No. 17
# VTcPt2Rh2 | Alexandria via LeMat-Bulk | PBE-GGA | optimized geometry
# energy: -7.727 eV/atom
# volume: 15.25 Å³/atom
# magnetic moment: 0.00 μB/atom
data_VTcPt2Rh2
_cell_length_a 4.7350
_cell_length_b 5.1591
_cell_length_c 7.5627
_cell_angle_alpha 90.00
_cell_angle_beta 97.99
_cell_angle_gamma 90.00
_symmetry_space_group_name_H-M 'P 1 21/m 1'
_symmetry_Int_Tables_number 11
loop_
_symmetry_equiv_pos_as_xyz
'x,y,z'
'-x,-y,-z'
'-x,y+1/2,-z'
'x,-y+1/2,z'
loop_
_atom_site_label
_atom_site_type_symbol
_atom_site_fract_x
_atom_site_fract_y
_atom_site_fract_z
_atom_site_occupancy
V1 V 0.0430 0.2500 0.2518 1
Tc1 Tc 0.0791 0.7500 0.4593 1
Pt1 Pt 0.4765 0.0016 0.6817 1
Rh1 Rh 0.0759 0.2500 0.8812 1
Rh2 Rh 0.3830 0.7500 0.9860 1


No. 18
# V2TcPtRh5 | Alexandria via LeMat-Bulk | PBE-GGA | optimized geometry
# energy: -7.732 eV/atom
# volume: 15.06 Å³/atom
# magnetic moment: 0.09 μB/atom
data_V2TcPtRh5
_cell_length_a 7.0225
_cell_length_b 7.0225
_cell_length_c 10.9930
_cell_angle_alpha 90.00
_cell_angle_beta 90.00
_cell_angle_gamma 90.00
_symmetry_space_group_name_H-M 'I 4/m c m'
_symmetry_Int_Tables_number 140
_symmetry_space_group_name_Hall '-I 4 2c'
loop_
_atom_site_label
_atom_site_type_symbol
_atom_site_fract_x
_atom_site_fract_y
_atom_site_fract_z
_atom_site_occupancy
V1 V 0.1107 0.3893 0.0000 1
Tc1 Tc 0.0000 0.0000 0.2500 1
Pt1 Pt 0.0000 0.5000 0.2500 1
Rh1 Rh 0.0000 0.0000 0.0000 1
Rh2 Rh 0.2181 0.2819 0.3687 1


No. 19
# TePtRh2 | Alexandria via LeMat-Bulk | PBE-GGA | optimized geometry
# energy: -5.852 eV/atom
# volume: 16.61 Å³/atom
# magnetic moment: 0.00 μB/atom
data_TePtRh2
_cell_length_a 6.4290
_cell_length_b 6.4290
_cell_length_c 6.4290
_cell_angle_alpha 90.00
_cell_angle_beta 90.00
_cell_angle_gamma 90.00
_symmetry_space_group_name_H-M 'F -4 3 m'
_symmetry_Int_Tables_number 216
_symmetry_space_group_name_Hall 'F -4 2 3'
loop_
_atom_site_label
_atom_site_type_symbol
_atom_site_fract_x
_atom_site_fract_y
_atom_site_fract_z
_atom_site_occupancy
Te1 Te 0.0000 0.0000 0.0000 1
Pt1 Pt 0.2500 0.2500 0.7500 1
Rh1 Rh 0.0000 0.0000 0.5000 1
Rh2 Rh 0.2500 0.2500 0.2500 1


No. 20
# Te6PtRh2 | Alexandria via LeMat-Bulk | PBE-GGA | optimized geometry
# energy: -4.812 eV/atom
# volume: 25.09 Å³/atom
# magnetic moment: 0.00 μB/atom
data_Te6PtRh2
_cell_length_a 6.9802
_cell_length_b 6.9802
_cell_length_c 5.3522
_cell_angle_alpha 90.00
_cell_angle_beta 90.00
_cell_angle_gamma 120.00
_symmetry_space_group_name_H-M 'P -3 1 m'
_symmetry_Int_Tables_number 162
_symmetry_space_group_name_Hall '-P 3 2'
loop_
_atom_site_label
_atom_site_type_symbol
_atom_site_fract_x
_atom_site_fract_y
_atom_site_fract_z
_atom_site_occupancy
Te1 Te 0.0000 0.3384 0.2509 1
Pt1 Pt 0.0000 0.0000 0.0000 1
Rh1 Rh 0.3333 0.6667 0.0000 1